Below is crystalline SmOF at its relaxed geometry, with properties calculated at the PBE-GGA level.

Calculated values
DOS(E_F) in states/eV/cell: 0.0
Energy in eV per atom: -7.62
Uncorrected formation energy in eV/atom: -3.77
Size of the total moment in μB/cell: 0.0

Unit cell a=3.9367 b=3.9367 c=3.9367 alpha=60.00 beta=60.00 gamma=60.00
Sites, in units of the cell vectors:
Sm 0.0000 0.0000 0.0000
O 0.2500 0.2500 0.2500
F 0.7500 0.7500 0.7500